Version i
Compound: YFeBiPd
Source: OQMD
Functional: PBE-GGA
Structure: optimized geometry

- Magnetic moment: 2.1 μB/f.u.
- Calculated volume: 20.0 Å³/atom

Lattice parameters (Å, degrees): 4.837 4.837 4.837 60.00 60.00 60.00
Fractional coordinates of all 4 atoms:
Fe  0.750  0.750  0.750
Bi  0.000  0.000  0.000
Y  0.500  0.500  0.500
Pd  0.250  0.250  0.250



Version ii
Compound: YFeBiPd
Source: OQMD
Functional: PBE-GGA
Structure: optimized geometry

- Magnetic moment: 2.7 μB/f.u.
- Calculated volume: 20.8 Å³/atom

Lattice parameters (Å, degrees): 4.900 4.900 4.900 60.00 60.00 60.00
Fractional coordinates of all 4 atoms:
Y  0.250  0.250  0.250
Bi  0.000  0.000  0.000
Fe  0.750  0.750  0.750
Pd  0.500  0.500  0.500



Relative energies, unit kJ/mol of atoms: version i 0.0; version ii 7.3



Version i
Compound: ZrFeBiPd
Source: OQMD
Functional: PBE-GGA
Structure: optimized geometry

- Magnetic moment: 1.8 μB/f.u.
- Calculated volume: 18.6 Å³/atom

Lattice parameters (Å, degrees): 4.717 4.717 4.717 60.00 60.00 60.00
Fractional coordinates of all 4 atoms:
Fe  0.750  0.750  0.750
Bi  0.000  0.000  0.000
Pd  0.250  0.250  0.250
Zr  0.500  0.500  0.500



Version ii
Compound: ZrFeBiPd
Source: OQMD
Functional: PBE-GGA
Structure: optimized geometry

- Magnetic moment: 2.3 μB/f.u.
- Calculated volume: 18.2 Å³/atom

Lattice parameters (Å, degrees): 4.688 4.688 4.688 60.00 60.00 60.00
Fractional coordinates of all 4 atoms:
Pd  0.500  0.500  0.500
Bi  0.000  0.000  0.000
Fe  0.750  0.750  0.750
Zr  0.250  0.250  0.250



Relative energies, unit kJ/mol of atoms: version i 0.0; version ii 11.7



Version i
Compound: ScFeBiPt
Source: OQMD
Functional: PBE-GGA
Structure: optimized geometry

- Magnetic moment: 1.9 μB/f.u.
- Calculated volume: 18.3 Å³/atom

Lattice parameters (Å, degrees): 4.697 4.697 4.697 60.00 60.00 60.00
Fractional coordinates of all 4 atoms:
Fe  0.750  0.750  0.750
Sc  0.500  0.500  0.500
Bi  0.000  0.000  0.000
Pt  0.250  0.250  0.250



Version ii
Compound: ScFeBiPt
Source: OQMD
Functional: PBE-GGA
Structure: optimized geometry

- Magnetic moment: 2.7 μB/f.u.
- Calculated volume: 17.9 Å³/atom

Lattice parameters (Å, degrees): 4.659 4.659 4.659 60.00 60.00 60.00
Fractional coordinates of all 4 atoms:
Sc  0.250  0.250  0.250
Fe  0.750  0.750  0.750
Bi  0.000  0.000  0.000
Pt  0.500  0.500  0.500



Relative energies, unit kJ/mol of atoms: version i 0.0; version ii 6.1



Version i
Compound: TaFeBiPt
Source: OQMD
Functional: PBE-GGA
Structure: optimized geometry

- Magnetic moment: 1.8 μB/f.u.
- Calculated volume: 17.2 Å³/atom

Lattice parameters (Å, degrees): 4.596 4.596 4.596 60.00 60.00 60.00
Fractional coordinates of all 4 atoms:
Ta  0.250  0.250  0.250
Pt  0.500  0.500  0.500
Bi  0.000  0.000  0.000
Fe  0.750  0.750  0.750



Version ii
Compound: TaFeBiPt
Source: OQMD
Functional: PBE-GGA
Structure: optimized geometry

- Magnetic moment: 1.5 μB/f.u.
- Calculated volume: 17.7 Å³/atom

Lattice parameters (Å, degrees): 4.639 4.639 4.639 60.00 60.00 60.00
Fractional coordinates of all 4 atoms:
Pt  0.250  0.250  0.250
Fe  0.750  0.750  0.750
Bi  0.000  0.000  0.000
Ta  0.500  0.500  0.500



Relative energies, unit kJ/mol of atoms: version i 0.0; version ii 0.7



Version i
Compound: YFeBiPt
Source: OQMD
Functional: PBE-GGA
Structure: optimized geometry

- Magnetic moment: 2.8 μB/f.u.
- Calculated volume: 20.0 Å³/atom

Lattice parameters (Å, degrees): 4.839 4.839 4.839 60.00 60.00 60.00
Fractional coordinates of all 4 atoms:
Fe  0.750  0.750  0.750
Bi  0.000  0.000  0.000
Y  0.250  0.250  0.250
Pt  0.500  0.500  0.500



Version ii
Compound: YFeBiPt
Source: OQMD
Functional: PBE-GGA
Structure: optimized geometry

- Magnetic moment: 2.2 μB/f.u.
- Calculated volume: 20.3 Å³/atom

Lattice parameters (Å, degrees): 4.858 4.858 4.858 60.00 60.00 60.00
Fractional coordinates of all 4 atoms:
Y  0.500  0.500  0.500
Fe  0.750  0.750  0.750
Pt  0.250  0.250  0.250
Bi  0.000  0.000  0.000



Relative energies, unit kJ/mol of atoms: version i 6.7; version ii 0.0



Version i
Compound: TaFeTcBi
Source: OQMD
Functional: PBE-GGA
Structure: optimized geometry

- Magnetic moment: 1.0 μB/f.u.
- Calculated volume: 16.6 Å³/atom

Lattice parameters (Å, degrees): 4.542 4.542 4.542 60.00 60.00 60.00
Fractional coordinates of all 4 atoms:
Ta  0.500  0.500  0.500
Tc  0.250  0.250  0.250
Fe  0.750  0.750  0.750
Bi  0.000  0.000  0.000



Version ii
Compound: TaFeTcBi
Source: OQMD
Functional: PBE-GGA
Structure: optimized geometry

- Magnetic moment: 3.6 μB/f.u.
- Calculated volume: 17.5 Å³/atom

Lattice parameters (Å, degrees): 4.623 4.623 4.623 60.00 60.00 60.00
Fractional coordinates of all 4 atoms:
Fe  0.750  0.750  0.750
Bi  0.000  0.000  0.000
Tc  0.500  0.500  0.500
Ta  0.250  0.250  0.250



Relative energies, unit kJ/mol of atoms: version i 0.0; version ii 27.0